Record 1
A relaxed structure of Li2SmCdAu2. Source: Alexandria via LeMat-Bulk, functional PBE.

For the total moment, the calculation gives 0.000 μB per cell. Its formation energy is -0.55 eV per atom. The value obtained for the raw total energy is -3.22 eV per atom.

Lattice parameters (Å, degrees): 4.5717 4.5717 6.6396 90.00 90.00 120.00
With the nearest neighbours (Å) after each atom.
Positions (direct):
Li 0.3333 0.6667 0.6669  4 Au 2.69-2.73, 3 Cd 2.86
Li 0.6667 0.3333 0.3331  4 Au 2.69-2.73, 3 Cd 2.86
Sm 0.0000 0.0000 0.0000  6 Au 3.14, 2 Cd 3.32, 6 Li 3.44
Cd 0.0000 0.0000 0.5000  6 Li 2.86, 6 Au 3.10
Au 0.3333 0.6667 0.2559  4 Li 2.69-2.73
Au 0.6667 0.3333 0.7441  4 Li 2.69-2.73

***

Record 2
A relaxed structure of LiSmCdAu2. Source: Alexandria via LeMat-Bulk, functional PBE.

For the total moment, the calculation gives 0.000 μB per cell. Its formation energy is -0.52 eV per atom. The value obtained for the raw total energy is -3.34 eV per atom.

Lattice parameters (Å, degrees): 5.7088 5.5106 6.7919 90.00 90.00 90.00
With the nearest neighbours (Å) after each atom.
Positions (direct):
Li 0.0000 0.0000 0.0000  2 Cd 2.71, 4 Au 2.75, 2 Li 2.76
Li 0.0000 0.5000 0.0000  2 Cd 2.71, 4 Au 2.75, 2 Li 2.76
Sm 0.2480 0.2500 0.5000  8 Au 3.10-3.28
Sm 0.7520 0.7500 0.5000  8 Au 3.10-3.28
Cd 0.5906 0.7500 0.0000  2 Li 2.71, 2 Au 2.83, 2 Cd 2.94
Cd 0.4094 0.2500 0.0000  2 Li 2.71, 2 Au 2.83, 2 Cd 2.94
Au 0.7661 0.2500 0.7100  2 Li 2.75, 1 Cd 2.83, 1 Au 2.85
Au 0.7661 0.2500 0.2900  2 Li 2.75, 1 Cd 2.83, 1 Au 2.85
Au 0.2339 0.7500 0.7100  2 Li 2.75, 1 Cd 2.83, 1 Au 2.85
Au 0.2339 0.7500 0.2900  2 Li 2.75, 1 Cd 2.83, 1 Au 2.85

***

Record 3
A relaxed structure of Li5Cd2SnAu2. Source: Alexandria via LeMat-Bulk, functional PBE.

For the total moment, the calculation gives 0.000 μB per cell. Its formation energy is -0.32 eV per atom. The value obtained for the raw total energy is -2.52 eV per atom.

Lattice parameters (Å, degrees): 3.6443 10.2001 10.2001 90.00 90.00 90.00
With the nearest neighbours (Å) after each atom.
Positions (direct):
Li 0.5000 0.2023 0.0717  2 Au 2.59, 2 Sn 2.85
Li 0.5000 0.7977 0.9283  2 Au 2.59, 2 Sn 2.85
Li 0.5000 0.0717 0.7977  2 Au 2.59, 2 Sn 2.85
Li 0.5000 0.7023 0.4283  2 Au 2.59, 2 Sn 2.85
Li 0.5000 0.9283 0.2023  2 Au 2.59, 2 Sn 2.85
Li 0.5000 0.2977 0.5717  2 Au 2.59, 2 Sn 2.85
Li 0.5000 0.5717 0.7023  2 Au 2.59, 2 Sn 2.85
Li 0.5000 0.4283 0.2977  2 Au 2.59, 2 Sn 2.85
Li 0.5000 0.5000 0.0000  4 Au 2.57
Li 0.5000 0.0000 0.5000  4 Au 2.57
Cd 0.0000 0.6712 0.1712  3 Au 2.92-3.07, 6 Li 3.07-3.21
Cd 0.0000 0.3288 0.8288  3 Au 2.92-3.07, 6 Li 3.07-3.21
Cd 0.0000 0.1712 0.3288  3 Au 2.92-3.07, 6 Li 3.07-3.21
Cd 0.0000 0.8288 0.6712  3 Au 2.92-3.07, 6 Li 3.07-3.21
Sn 0.0000 0.0000 0.0000  8 Li 2.85
Sn 0.0000 0.5000 0.5000  8 Li 2.85
Au 0.0000 0.1261 0.6261  6 Li 2.57-2.59
Au 0.0000 0.8739 0.3739  6 Li 2.57-2.59
Au 0.0000 0.6261 0.8739  6 Li 2.57-2.59
Au 0.0000 0.3739 0.1261  6 Li 2.57-2.59

***

Record 4
A relaxed structure of Li2Cd2SnAu2. Source: Alexandria via LeMat-Bulk, functional PBE.

For the total moment, the calculation gives 0.000 μB per cell. Its formation energy is -0.29 eV per atom. The value obtained for the raw total energy is -2.60 eV per atom.

Lattice parameters (Å, degrees): 4.7219 4.7219 7.3484 71.26 71.26 60.00
With the nearest neighbours (Å) after each atom.
Positions (direct):
Li 0.7236 0.7236 0.8293  1 Au 2.77, 4 Cd 2.82-3.05, 3 Sn 2.96
Li 0.2764 0.2764 0.1707  1 Au 2.77, 4 Cd 2.82-3.05, 3 Sn 2.96
Cd 0.5747 0.5747 0.2760  4 Li 2.82-3.05, 3 Au 2.91, 1 Cd 3.06
Cd 0.4253 0.4253 0.7240  4 Li 2.82-3.05, 3 Au 2.91, 1 Cd 3.06
Sn 0.0000 0.0000 0.0000  2 Au 2.89, 6 Li 2.96
Au 0.1410 0.1410 0.5769  1 Li 2.77, 1 Sn 2.89, 3 Cd 2.91, 3 Au 2.92
Au 0.8590 0.8590 0.4231  1 Li 2.77, 1 Sn 2.89, 3 Cd 2.91, 3 Au 2.92

***

Record 5
A relaxed structure of LiCd2SnAu. Source: Alexandria via LeMat-Bulk, functional PBE.

For the total moment, the calculation gives 0.000 μB per cell. Its formation energy is 0.33 eV per atom. The value obtained for the raw total energy is -1.87 eV per atom.

Lattice parameters (Å, degrees): 5.4149 5.2159 5.4149 90.00 90.00 90.00
With the nearest neighbours (Å) after each atom.
Positions (direct):
Li 0.0000 0.5000 0.0000  2 Sn 2.61
Au 0.5000 0.5000 0.5000  8 Cd 3.76, 4 Li 3.83
Sn 0.0000 0.0000 0.0000  2 Li 2.61, 4 Cd 2.71
Cd 0.0000 0.0000 0.5000  2 Sn 2.71
Cd 0.5000 0.0000 0.0000  2 Sn 2.71

***

Record 6
A relaxed structure of Li2CdSnAu4. Source: Alexandria via LeMat-Bulk, functional PBE.

For the total moment, the calculation gives 0.000 μB per cell. Its formation energy is -0.38 eV per atom. The value obtained for the raw total energy is -3.11 eV per atom.

Lattice parameters (Å, degrees): 4.6549 4.6549 8.1839 73.48 73.48 60.00
With the nearest neighbours (Å) after each atom.
Positions (direct):
Li 0.7517 0.7517 0.7450  8 Au 2.84-2.99
Li 0.2483 0.2483 0.2550  8 Au 2.84-2.99
Cd 0.5000 0.5000 0.5000  8 Au 2.85-2.86
Sn 0.0000 0.0000 0.0000  8 Au 2.87-2.88
Au 0.3773 0.3773 0.8682  1 Cd 2.85, 4 Li 2.85-2.99, 3 Sn 2.87
Au 0.8759 0.8759 0.3724  4 Li 2.84-2.88, 3 Cd 2.86, 1 Sn 2.88
Au 0.1241 0.1241 0.6276  4 Li 2.84-2.88, 3 Cd 2.86, 1 Sn 2.88
Au 0.6227 0.6227 0.1318  1 Cd 2.85, 4 Li 2.85-2.99, 3 Sn 2.87